Entry 1:
Crystalline Li3Pm3TaS8 at its relaxed geometry. Source: Alexandria via LeMat-Bulk, functional PBE.

Results
Calculated total energy   -5.921 eV/atom
Space-group type   R-3m (166)
ΔE_f (raw)   -1.597 eV per atom
Total magnetic moment   0.00 μB/cell
Fermi-level density of states   4.68 states/eV/cell
V   330.8 Å³ per cell

```
Li3Pm3TaS8
1.0
7.851 0.000 0.000
-3.925 6.798 -0.024
0.000 -4.513 6.215
Pm S Li Ta
3 8 3 1
Cartesian
-1.963 1.143 3.095 Pm
3.925 -2.256 3.108 Pm
1.963 1.143 3.095 Pm
0.000 2.270 1.461 S
0.000 -0.222 4.585 S
-2.168 5.551 1.595 S
6.093 -3.265 4.596 S
3.925 2.507 1.605 S
1.758 -3.265 4.596 S
2.168 5.551 1.595 S
3.925 0.016 4.730 S
0.000 0.000 0.000 Li
-1.963 3.399 -0.012 Li
1.963 3.399 -0.012 Li
0.000 -2.256 3.108 Ta
```

Entry 2:
Crystalline LiTbPm2S5 at its relaxed geometry. Source: Alexandria via LeMat-Bulk, functional PBE.

Results
Calculated total energy   -5.989 eV/atom
Space-group type   Cmc2_1 (36)
ΔE_f (raw)   -1.913 eV per atom
Total magnetic moment   0.00 μB/cell
V   388.9 Å³ per cell

```
LiTbPm2S5
1.0
3.970 0.000 0.000
-1.985 8.232 0.000
0.000 0.000 11.899
S Li Pm Tb
10 2 4 2
Cartesian
0.000 4.731 7.871 S
1.985 2.252 5.936 S
0.000 5.068 4.073 S
1.985 7.474 6.805 S
0.000 8.220 3.383 S
1.985 3.164 10.022 S
1.985 0.012 9.332 S
0.000 5.980 11.886 S
1.985 3.501 1.921 S
0.000 0.758 0.855 S
0.000 8.009 5.738 Li
1.985 0.224 11.687 Li
0.000 1.780 8.149 Pm
1.985 6.196 9.480 Pm
1.985 6.452 2.199 Pm
0.000 2.037 3.530 Pm
1.985 4.986 5.967 Tb
0.000 3.246 0.017 Tb
```

Entry 3:
Crystalline LiTbPm2S4 at its relaxed geometry. Source: Alexandria via LeMat-Bulk, functional PBE.

Results
Calculated total energy   -6.002 eV/atom
Space-group type   P2/m (10)
ΔE_f (raw)   -1.932 eV per atom
Total magnetic moment   0.00 μB/cell
Fermi-level density of states   2.63 states/eV/cell
V   175.4 Å³ per cell

```
LiTbPm2S4
1.0
-0.128 -0.647 -3.908
6.817 -0.554 -0.132
-2.773 -6.174 1.113
Li Pm Tb S
1 2 1 4
Cartesian
3.344 -0.600 -2.020 Li
2.022 -3.364 0.490 Pm
-1.451 -3.410 -1.398 Pm
0.000 0.000 0.000 Tb
0.986 -1.928 -1.723 S
-0.366 -4.850 0.814 S
2.930 -5.447 -1.205 S
4.411 -1.879 0.166 S
```

Entry 4:
Crystalline LiTb2PmS4 at its relaxed geometry. Source: Alexandria via LeMat-Bulk, functional PBE.

Results
Calculated total energy   -5.992 eV/atom
Space-group type   P2/m (10)
ΔE_f (raw)   -1.937 eV per atom
Total magnetic moment   0.00 μB/cell
Fermi-level density of states   2.55 states/eV/cell
V   172.6 Å³ per cell

```
LiTb2PmS4
1.0
3.931 0.000 0.000
0.000 6.820 0.124
0.000 -2.378 6.396
S Li Pm Tb
4 1 1 2
Cartesian
1.966 3.273 4.872 S
0.000 4.480 1.692 S
1.966 1.168 1.648 S
0.000 -0.039 4.828 S
1.966 3.410 0.062 Li
0.000 0.000 0.000 Pm
0.000 2.221 3.260 Tb
1.966 -1.189 3.198 Tb
```

Entry 5:
Crystalline LiTb4PmS8 at its relaxed geometry. Source: Alexandria via LeMat-Bulk, functional PBE.

Results
Calculated total energy   -6.112 eV/atom
Space-group type   R3m (160)
ΔE_f (raw)   -1.955 eV per atom
Total magnetic moment   0.00 μB/cell
Fermi-level density of states   0.00 states/eV/cell
V   373.9 Å³ per cell

```
LiTb4PmS8
1.0
8.058 0.000 0.000
4.029 6.979 0.000
4.029 2.326 6.649
S Li Tb Pm
8 1 4 1
Cartesian
10.163 3.437 4.909 S
5.931 5.881 1.754 S
4.029 2.326 1.807 S
8.058 2.196 1.754 S
10.186 5.881 1.754 S
12.087 6.979 4.816 S
8.058 7.083 4.909 S
5.954 3.437 4.909 S
8.058 4.652 5.810 Li
8.058 4.652 0.815 Tb
5.971 1.205 3.355 Tb
4.029 4.569 3.355 Tb
2.087 1.205 3.355 Tb
4.029 2.326 6.569 Pm
```

Entry 6:
Crystalline LiTb4Pm3S8 at its relaxed geometry. Source: Alexandria via LeMat-Bulk, functional PBE.

Results
Calculated total energy   -6.206 eV/atom
Space-group type   R-3m (166)
ΔE_f (raw)   -1.974 eV per atom
Total magnetic moment   0.00 μB/cell
Fermi-level density of states   8.52 states/eV/cell
V   351.2 Å³ per cell

```
LiTb4Pm3S8
1.0
-2.393 -2.940 6.951
2.341 -7.225 -2.249
5.102 6.051 -0.193
Li Pm Tb S
1 3 4 8
Cartesian
1.170 -3.613 -1.125 Li
2.525 -2.057 2.254 Pm
-0.026 -5.082 2.351 Pm
3.722 -0.587 -1.221 Pm
-1.197 -1.470 3.475 Tb
1.354 1.556 3.379 Tb
2.551 3.025 -0.097 Tb
0.000 0.000 0.000 Tb
5.072 3.522 0.922 S
2.489 0.525 1.079 S
3.690 -3.181 -0.075 S
1.360 -0.933 4.583 S
1.206 -6.127 0.019 S
3.844 2.013 4.489 S
2.561 -4.639 3.429 S
-0.023 -7.636 3.586 S
```

What did the third record say?
Crystalline LiTbPm2S4 at its relaxed geometry. Source: Alexandria via LeMat-Bulk, functional PBE.

Results
Calculated total energy   -6.002 eV/atom
Space-group type   P2/m (10)
ΔE_f (raw)   -1.932 eV per atom
Total magnetic moment   0.00 μB/cell
Fermi-level density of states   2.63 states/eV/cell
V   175.4 Å³ per cell

```
LiTbPm2S4
1.0
-0.128 -0.647 -3.908
6.817 -0.554 -0.132
-2.773 -6.174 1.113
Li Pm Tb S
1 2 1 4
Cartesian
3.344 -0.600 -2.020 Li
2.022 -3.364 0.490 Pm
-1.451 -3.410 -1.398 Pm
0.000 0.000 0.000 Tb
0.986 -1.928 -1.723 S
-0.366 -4.850 0.814 S
2.930 -5.447 -1.205 S
4.411 -1.879 0.166 S
```

- Which formula does entry 2 have?
  LiTbPm2S5

- total magnetic moment of number 3 (LiTbPm2S4)?
  0.00 μB/cell